(1)
Entry from Alexandria via LeMat-Bulk: a geometry-optimized BeFeCo2 structure (PBE).

## Properties
The calculation puts the formation energy at -0.071 eV per atom. Its total energy is -6.671 eV per atom. Its crystal system is orthorhombic. The calculation puts the density of states at the Fermi level at 1.02 states/eV/atom.

a = 2.702 Å, b = 3.957 Å, c = 7.622 Å
α = 90.00°, β = 90.00°, γ = 90.00°
Space group Immm (No. 71)
Inequivalent atoms, fractional coordinates:
Be (0.000, 0.000, 0.000)
Fe (0.000, 0.000, 0.500)
Co (0.000, 0.500, 0.262)


(2)
Entry from Alexandria via LeMat-Bulk: a geometry-optimized SrAs3Au structure (PBE).

## Properties
The calculation puts the formation energy at 1.226 eV per atom. The calculation puts the relative energy among the computed polymorphs at 1.184 eV per atom. Its total energy is -2.555 eV per atom. Its crystal system is cubic. The calculation puts the density of states at the Fermi level at 0.58 states/eV/atom.

a = 5.611 Å, b = 5.611 Å, c = 5.611 Å
α = 90.00°, β = 90.00°, γ = 90.00°
Space group Pm-3m (No. 221)
Inequivalent atoms, fractional coordinates:
Sr (0.000, 0.000, 0.000)
As (0.000, 0.000, 0.500)
Au (0.500, 0.500, 0.500)


(3)
Entry from Alexandria via LeMat-Bulk: a geometry-optimized K2Zn5Au4 structure (PBE).

## Properties
The calculation puts the formation energy at -0.219 eV per atom. Its total energy is -2.190 eV per atom. Its crystal system is orthorhombic. The calculation puts the density of states at the Fermi level at 0.36 states/eV/atom.

a = 5.895 Å, b = 10.499 Å, c = 15.960 Å
α = 90.00°, β = 90.00°, γ = 90.00°
Space group Fmmm (No. 69)
Inequivalent atoms, fractional coordinates:
K (0.000, 0.000, 0.147)
Zn (0.000, 0.000, 0.500)
Zn (0.250, 0.250, 0.000)
Zn (0.250, 0.250, 0.250)
Au (0.000, 0.157, 0.372)


(4)
Entry from Alexandria via LeMat-Bulk: a geometry-optimized CrCdIr2 structure (PBE).

## Properties
The calculation puts the formation energy at 0.234 eV per atom. Its total energy is -6.832 eV per atom. Its crystal system is orthorhombic. The calculation puts the density of states at the Fermi level at 1.23 states/eV/atom.

a = 5.666 Å, b = 7.672 Å, c = 2.849 Å
α = 90.00°, β = 90.00°, γ = 90.00°
Space group Cmmm (No. 65)
Inequivalent atoms, fractional coordinates:
Cr (0.000, 0.000, 0.000)
Cd (0.000, 0.500, 0.000)
Ir (0.250, 0.250, 0.500)


(5)
Entry from Alexandria via LeMat-Bulk: a geometry-optimized Dy6YIn2 structure (PBE).

## Properties
The calculation puts the formation energy at 0.325 eV per atom. The calculation puts the relative energy among the computed polymorphs at 0.535 eV per atom. Its total energy is -4.070 eV per atom. Its crystal system is tetragonal. The calculation puts the density of states at the Fermi level at 1.50 states/eV/atom.

a = 6.241 Å, b = 6.241 Å, c = 15.255 Å
α = 90.00°, β = 90.00°, γ = 90.00°
Space group I-42m (No. 121)
Inequivalent atoms, fractional coordinates:
Dy (0.000, 0.500, 0.250)
Dy (0.175, 0.175, 0.089)
Y (0.000, 0.000, 0.500)
In (0.000, 0.000, 0.289)


(6)
Entry from Alexandria via LeMat-Bulk: a geometry-optimized RbTmCu2I6 structure (PBE).

## Properties
Its total energy is -3.161 eV per atom. The calculation puts the formation energy (no corrections) at -0.867 eV/atom. Its crystal system is monoclinic. The calculation puts the density of states at the Fermi level at 0.00 states/eV/atom.

a = 15.610 Å, b = 14.629 Å, c = 7.686 Å
α = 90.00°, β = 95.54°, γ = 90.00°
Space group C2/c (No. 15)
Inequivalent atoms, fractional coordinates:
Rb (0.000, 0.080, 0.250)
Tm (0.000, 0.270, 0.750)
Cu (0.087, 0.429, 0.269)
I (0.112, 0.285, 0.092)
I (0.115, 0.421, 0.606)
I (0.123, 0.131, 0.655)